## BaAgBr4 (SCAN)

Data for a PBEsol-optimized structure of BaAgBr4.

a = 6.3297 Å, b = 6.3297 Å, c = 6.3297 Å
α = 60.00°, β = 60.00°, γ = 60.00°
Positions (direct):
Ba (0.0000, 0.0000, 0.0000)
Ag (0.2500, 0.2500, 0.2500)
Br (0.1276, 0.6241, 0.6241)
Br (0.6241, 0.1276, 0.6241)
Br (0.6241, 0.6241, 0.1276)
Br (0.6241, 0.6241, 0.6241)

## Properties
ΔE_f (raw)	-0.45	eV per atom
crystal system	cubic
symmetry	F-43m, No. 216
total magnetization	2.036	μB/cell
final energy	-25.24	eV per atom